Here is a relaxed CsPuCrBr6 crystal from Alexandria via LeMat-Bulk. Energies are from PBE-GGA.

Results
- Density: 4.092 g/cm³
- Volume: 41.0 A^3/atom
- Uncorrected formation energy: -1298 meV per atom
- DFT total energy: -46.5 eV/cell
- Size of the total moment: 9.00 μB per formula unit

```
data_CsPuCrBr6
_cell_length_a 7.2424
_cell_length_b 7.2424
_cell_length_c 8.1135
_cell_angle_alpha 90.00
_cell_angle_beta 90.00
_cell_angle_gamma 120.00
_symmetry_space_group_name_H-M 'P 3 1 2'
_symmetry_Int_Tables_number 149
loop_
_symmetry_equiv_pos_as_xyz
'x,y,z'
'-y,x-y,z'
'-x+y,-x,z'
'-y,-x,-z'
'-x+y,y,-z'
'x,x-y,-z'
loop_
_atom_site_label
_atom_site_type_symbol
_atom_site_fract_x
_atom_site_fract_y
_atom_site_fract_z
Cs1 Cs 0.0000 0.0000 0.0000
Pu1 Pu 0.6667 0.3333 0.5000
Cr1 Cr 0.3333 0.6667 0.5000
Br1 Br 0.0265 0.3833 0.6922
```